CsMnIO2, optimized geometry, DFT PBE+U; total DFT energy (no corrections) = -4.42 eV per atom; symmetry = P4/mmm (123); energy relative to the lowest polymorph listed for this composition = 0 meV per atom
1.0
4.652 0.000 0.000
0.000 4.652 0.000
0.000 0.000 5.648
Cs Mn I O
1 1 1 2
direct
0.000 0.000 0.000
0.500 0.500 0.500
0.500 0.500 0.000
0.000 0.500 0.500
0.500 0.000 0.500